Entry 1:
# TmNiSb2

An optimized crystal structure of TmNiSb2 (PBE, the Open Quantum Materials Database).

Summary:
Crystal system ... tetragonal
SG ... No. 122
Calculated total energy ... -38.1 eV/cell

The structure in POSCAR format:
```
TmNiSb2
1.0
-1.369 8.350 3.058
-7.417 4.888 1.430
4.211 -7.875 1.102
Ni Sb Tm
2 4 2
direct
0.000 0.000 0.000
0.750 0.250 0.500
0.375 0.968 0.093
0.032 0.125 0.407
0.718 0.625 0.593
0.875 0.282 0.907
0.500 0.500 0.000
0.250 0.750 0.500
```



Entry 2:
# TmNiSb

An optimized crystal structure of TmNiSb (PBE, the Open Quantum Materials Database).

Summary:
Crystal system ... hexagonal
SG ... No. 189
Calculated total energy ... -44.2 eV/cell

The structure in POSCAR format:
```
TmNiSb
1.0
-7.942 0.104 0.392
3.747 -6.305 -3.073
0.143 -1.518 3.289
Ni Sb Tm
3 3 3
direct
0.664 0.000 0.000
0.336 0.336 0.000
0.000 0.664 0.000
0.000 0.000 0.000
0.667 0.333 0.500
0.333 0.667 0.500
0.285 0.000 0.500
0.000 0.285 0.500
0.715 0.715 0.500
```



Entry 3:
# U3Ni3Sb4

An optimized crystal structure of U3Ni3Sb4 (PBE, the Open Quantum Materials Database).

Summary:
Crystal system ... cubic
SG ... No. 220
Calculated total energy ... -143.0 eV/cell

The structure in POSCAR format:
```
U3Ni3Sb4
1.0
-4.686 4.686 4.686
4.686 -4.686 4.686
4.686 4.686 -4.686
Ni Sb U
6 8 6
direct
0.875 0.250 0.125
0.125 0.875 0.250
0.625 0.750 0.375
0.750 0.375 0.625
0.375 0.625 0.750
0.250 0.125 0.875
0.333 0.500 0.000
0.833 0.500 0.000
0.167 0.167 0.167
0.500 0.000 0.333
0.000 0.333 0.500
0.000 0.833 0.500
0.667 0.667 0.667
0.500 0.000 0.833
0.750 0.875 0.125
0.625 0.375 0.250
0.250 0.625 0.375
0.375 0.250 0.625
0.875 0.125 0.750
0.125 0.750 0.875
```



Entry 4:
# Ni6SbW

An optimized crystal structure of Ni6SbW (PBE, the Open Quantum Materials Database).

Summary:
Crystal system ... orthorhombic
SG ... No. 25
Calculated total energy ... -51.3 eV/cell

The structure in POSCAR format:
```
Ni6SbW
1.0
-1.752 -0.145 3.875
4.687 -0.322 2.108
0.193 4.486 0.255
Ni Sb W
6 1 1
direct
0.500 0.000 0.176
0.000 0.259 0.335
0.000 0.741 0.335
0.500 0.254 0.657
0.500 0.746 0.657
0.000 0.500 0.838
0.000 0.000 0.838
0.500 0.500 0.165
```



no.,magnetization (μB/cell)
1,0.03
2,0.00
3,12.06
4,0.00